1.
! Pm4CdRu, relaxed, DFT PBE-GGA; values from VASP
! Energy of formation from the pure elements: -0.281 eV/atom
! Space-group type: F-43m
! Mass density: 7792 kg/m3
! Fermi-level density of states: 6.6 states/eV/f.u.
&SYSTEM
  ibrav = 0, nat = 24, ntyp = 3
/
ATOMIC_SPECIES
Pm 145.00 Pm.upf
Cd 112.41 Cd.upf
Ru 101.07 Ru.upf
ATOMIC_POSITIONS angstrom
Pm 4.595 3.249 7.959
Pm 7.875 3.249 9.853
Pm 5.689 6.342 9.853
Pm 4.595 3.249 11.747
Pm 6.366 4.501 14.780
Pm 10.700 7.566 14.780
Pm 7.449 7.566 12.903
Pm 9.617 4.501 16.656
Pm 9.617 4.501 12.903
Pm 7.449 7.566 16.656
Pm 2.147 1.518 9.853
Pm 9.231 6.527 9.853
Pm 3.918 6.527 6.786
Pm 7.460 1.518 12.920
Pm 7.460 1.518 6.786
Pm 3.918 6.527 12.920
Cd 1.939 1.371 3.358
Cd 4.656 1.371 4.927
Cd 2.844 3.933 4.927
Cd 1.939 1.371 6.495
Ru 6.965 4.925 12.063
Ru 3.137 4.925 9.853
Ru 5.689 1.316 9.853
Ru 6.965 4.925 7.643
CELL_PARAMETERS angstrom
8.533 0.000 4.927
2.844 8.045 4.927
0.000 0.000 9.853


2.
! CsZnGePSeBr, relaxed, DFT PBE-GGA; values from VASP
! Space-group type: P1
! Mass density: 4075 kg/m3
! Formation energy without anion corrections: -484.1 meV/atom
! Fermi-level density of states: 1.7 states/eV/f.u.
&SYSTEM
  ibrav = 0, nat = 6, ntyp = 6
/
ATOMIC_SPECIES
Cs 132.91 Cs.upf
Zn 65.41 Zn.upf
Ge 72.64 Ge.upf
P 30.97 P.upf
Se 78.96 Se.upf
Br 79.90 Br.upf
ATOMIC_POSITIONS angstrom
Cs 1.554 0.240 3.043
Zn 4.795 2.571 8.059
Ge 2.494 2.906 5.839
P 2.763 1.434 7.670
Se 4.353 4.638 6.453
Br 3.892 2.824 1.717
CELL_PARAMETERS angstrom
4.186 -0.024 0.013
0.471 5.186 -0.001
1.228 0.661 8.649


3.
! SrTcSe2Br, relaxed, DFT PBE-GGA; values from VASP
! Space-group type: P4/mmm
! Mass density: 5416 kg/m3
! Formation energy without anion corrections: -624.7 meV/atom
! Fermi-level density of states: 3.7 states/eV/f.u.
&SYSTEM
  ibrav = 0, nat = 5, ntyp = 4
/
ATOMIC_SPECIES
Sr 87.62 Sr.upf
Se 78.96 Se.upf
Tc 98.00 Tc.upf
Br 79.90 Br.upf
ATOMIC_POSITIONS angstrom
Sr 2.471 2.471 2.659
Se 0.000 2.471 0.000
Se 2.471 0.000 0.000
Tc 0.000 0.000 0.000
Br 0.000 0.000 2.659
CELL_PARAMETERS angstrom
4.941 0.000 0.000
0.000 4.941 0.000
0.000 0.000 5.317